1.
Entry from Alexandria via LeMat-Bulk: a relaxed Li2NiP2 crystal (PBEsol).

- Energy relative to the elements: -316 kJ/mol of formula units

abc: 5.6658 5.6658 4.0898
angles: 90.00 90.00 90.00
Sites, in units of the cell vectors:
Li1 0.1726 0.3274 0.0000
Li2 0.3274 0.8274 0.0000
Li3 0.6726 0.1726 0.0000
Li4 0.8274 0.6726 0.0000
Ni1 0.0000 0.0000 0.5000
Ni2 0.5000 0.5000 0.5000
P1 0.1388 0.6388 0.5000
P2 0.3612 0.1388 0.5000
P3 0.6388 0.8612 0.5000
P4 0.8612 0.3612 0.5000


2.
Entry from Alexandria via LeMat-Bulk: a relaxed LiNiP crystal (PBEsol).

- Energy relative to the elements: -182 kJ/mol of formula units

abc: 3.6451 3.6451 5.8299
angles: 90.00 90.00 90.00
Sites, in units of the cell vectors:
Li1 0.2500 0.2500 0.1610
Li2 0.7500 0.7500 0.8390
Ni1 0.2500 0.7500 0.5000
Ni2 0.7500 0.2500 0.5000
P1 0.2500 0.2500 0.7237
P2 0.7500 0.7500 0.2763


3.
Entry from Alexandria via LeMat-Bulk: a relaxed Li2Ni12P7 crystal (PBEsol).

- Energy relative to the elements: -1302 kJ/mol of formula units

abc: 8.9026 8.9026 3.4911
angles: 90.00 90.00 120.00
Sites, in units of the cell vectors:
Li1 0.0000 0.0000 0.0000
Li2 0.3333 0.6667 0.5000
Ni1 0.0420 0.2735 0.5000
Ni2 0.1004 0.7162 0.0000
Ni3 0.2315 0.9580 0.5000
Ni4 0.2838 0.3841 0.0000
Ni5 0.4478 0.2073 0.0000
Ni6 0.5083 0.4525 0.5000
Ni7 0.5475 0.0559 0.5000
Ni8 0.6159 0.8996 0.0000
Ni9 0.7265 0.7685 0.5000
Ni10 0.7595 0.5522 0.0000
Ni11 0.7927 0.2405 0.0000
Ni12 0.9441 0.4917 0.5000
P1 0.0806 0.4535 0.0000
P2 0.2497 0.2093 0.5000
P3 0.3730 0.9194 0.0000
P4 0.5465 0.6270 0.0000
P5 0.6667 0.3333 0.5000
P6 0.7907 0.0404 0.5000
P7 0.9596 0.7503 0.5000


4.
Entry from Alexandria via LeMat-Bulk: a relaxed LiNiP2S6 crystal (PBEsol).

- Uncorrected formation energy: -423 meV per atom

abc: 5.7951 5.7951 6.6873
angles: 97.77 97.77 120.44
Sites, in units of the cell vectors:
Li1 0.0000 0.0000 0.0000
Ni1 0.6691 0.3309 0.0000
P1 0.2782 0.6086 0.8318
P2 0.3914 0.7218 0.1682
S1 0.0556 0.4194 0.2436
S2 0.2850 0.2606 0.7569
S3 0.4431 0.1034 0.2350
S4 0.5806 0.9444 0.7564
S5 0.7394 0.7150 0.2431
S6 0.8966 0.5569 0.7650